1.
# Zr6HC3N2

Crystalline Zr6HC3N2 at its relaxed geometry (GGA-PBE, Alexandria).

Computed properties:
Spin magnetization ... 0.0 μB/f.u.
Total energy ... -9.35 eV per atom

Cell: 14.3992 3.3138 6.6061 Å, 90.00 103.06 90.00°
Space group C2/m (No. 12)
Unique sites:
Zr  0.9995  0.0000  0.2363 (multiplicity 4)
Zr  0.1671  0.5000  0.0846 (multiplicity 4)
Zr  0.1726  0.5000  0.5883 (multiplicity 4)
H  0.0000  0.5000  0.5000 (multiplicity 2)
C  0.0000  0.5000  0.0000 (multiplicity 2)
C  0.1665  0.0000  0.3353 (multiplicity 4)
N  0.1662  0.0000  0.8320 (multiplicity 4)

2.
# AlAs

Crystalline AlAs at its relaxed geometry (GGA-PBE, Alexandria).

Computed properties:
Formation energy ... 127 meV/atom
Spin magnetization ... 0.0 μB/f.u.

Cell: 3.2881 3.2881 3.2881 Å, 90.00 90.00 90.00°
Space group Pm-3m (No. 221)
Unique sites:
Al  0.0000  0.0000  0.0000 (multiplicity 1)
As  0.5000  0.5000  0.5000 (multiplicity 1)

3.
# Zr2IrPt

Crystalline Zr2IrPt at its relaxed geometry (GGA-PBE, Alexandria).

Computed properties:
Formation energy ... -189 meV/atom
Spin magnetization ... 0.0 μB/f.u.

Cell: 3.1121 3.1121 27.3512 Å, 90.00 90.00 120.00°
Space group R3m (No. 160, hexagonal axes)
Unique sites:
Zr  0.0000  0.0000  0.0000 (multiplicity 3)
Zr  0.0000  0.0000  0.2374 (multiplicity 3)
Ir  0.0000  0.0000  0.7412 (multiplicity 3)
Pt  0.0000  0.0000  0.4921 (multiplicity 3)

4.
# Zr2CdSnH

Crystalline Zr2CdSnH at its relaxed geometry (GGA-PBE, Alexandria).

Computed properties:
Spin magnetization ... 0.0 μB/f.u.
Total energy ... -5.36 eV per atom

Cell: 4.3856 4.3856 4.6352 Å, 90.00 90.00 90.00°
Space group P4/mmm (No. 123)
Unique sites:
Zr  0.0000  0.5000  0.0000 (multiplicity 2)
Cd  0.0000  0.0000  0.5000 (multiplicity 1)
Sn  0.5000  0.5000  0.5000 (multiplicity 1)
H  0.0000  0.0000  0.0000 (multiplicity 1)

5.
# PrHo2Tm

Crystalline PrHo2Tm at its relaxed geometry (GGA-PBE, Alexandria).

Computed properties:
Formation energy ... 137 meV/atom
E above lowest polymorph ... 120 meV per atom
Spin magnetization ... 0.0 μB/f.u.

Cell: 8.0304 8.0304 8.0304 Å, 90.00 90.00 90.00°
Space group Fm-3m (No. 225)
Unique sites:
Pr  0.0000  0.0000  0.0000 (multiplicity 4)
Ho  0.2500  0.2500  0.2500 (multiplicity 8)
Tm  0.0000  0.0000  0.5000 (multiplicity 4)

6.
# Hg2C

Crystalline Hg2C at its relaxed geometry (GGA-PBE, Alexandria).

Computed properties:
Formation energy ... 1661 meV/atom
E above lowest polymorph ... 1189 meV per atom
Spin magnetization ... 0.0 μB/f.u.

Cell: 4.2324 4.2324 3.1944 Å, 90.00 90.00 90.00°
Space group P4/mmm (No. 123)
Unique sites:
Hg  0.0000  0.5000  0.0000 (multiplicity 2)
C  0.0000  0.0000  0.5000 (multiplicity 1)

7.
# NbInAs2

Crystalline NbInAs2 at its relaxed geometry (GGA-PBE, Alexandria).

Computed properties:
Formation energy ... 86 meV/atom
Spin magnetization ... 0.0 μB/f.u.

Cell: 6.2315 6.2315 11.6535 Å, 90.00 90.00 90.00°
Space group I-42d (No. 122)
Unique sites:
Nb  0.0000  0.0000  0.0000 (multiplicity 4)
In  0.0000  0.0000  0.5000 (multiplicity 4)
As  0.2138  0.2500  0.1250 (multiplicity 8)

8.
# WSe2IBr

Crystalline WSe2IBr at its relaxed geometry (GGA-PBE, Alexandria).

Computed properties:
E above lowest polymorph ... 0 meV per atom
Spin magnetization ... 0.0 μB/f.u.

Cell: 4.9798 4.9798 5.1295 Å, 90.00 90.00 90.00°
Space group P4/mmm (No. 123)
Unique sites:
W  0.0000  0.0000  0.0000 (multiplicity 1)
Se  0.0000  0.5000  0.0000 (multiplicity 2)
I  0.5000  0.5000  0.5000 (multiplicity 1)
Br  0.0000  0.0000  0.5000 (multiplicity 1)

9.
# Co2AsOs2

Crystalline Co2AsOs2 at its relaxed geometry (GGA-PBE, Alexandria).

Computed properties:
Formation energy ... 512 meV/atom
E above lowest polymorph ... 0 meV per atom
Spin magnetization ... 1.3 μB/f.u.

Cell: 7.3040 7.3040 2.6348 Å, 90.00 90.00 90.00°
Space group P4/mbm (No. 127)
Unique sites:
Co  0.1689  0.3311  0.0000 (multiplicity 4)
As  0.0000  0.0000  0.0000 (multiplicity 2)
Os  0.1247  0.6247  0.5000 (multiplicity 4)

10.
# CaAg2Pb2

Crystalline CaAg2Pb2 at its relaxed geometry (GGA-PBE, Alexandria).

Computed properties:
Formation energy ... -53 meV/atom
E above lowest polymorph ... 93 meV per atom
Spin magnetization ... 0.0 μB/f.u.

Cell: 8.5294 8.5294 3.5994 Å, 90.00 90.00 90.00°
Space group P4/mbm (No. 127)
Unique sites:
Ca  0.0000  0.0000  0.0000 (multiplicity 2)
Ag  0.1532  0.3468  0.5000 (multiplicity 4)
Pb  0.1428  0.6428  0.0000 (multiplicity 4)

11.
# Nd2Tm2Pt3

Crystalline Nd2Tm2Pt3 at its relaxed geometry (GGA-PBE, Alexandria).

Computed properties:
Formation energy ... -1047 meV/atom
Spin magnetization ... 0.0 μB/f.u.

Cell: 8.8192 8.8192 8.8192 Å, 90.00 90.00 90.00°
Space group I2_13 (No. 199)
Unique sites:
Nd  0.1856  0.1856  0.1856 (multiplicity 8)
Tm  0.0621  0.4379  0.5621 (multiplicity 8)
Pt  0.0000  0.2500  0.8610 (multiplicity 12)

12.
# NbTl2Fe

Crystalline NbTl2Fe at its relaxed geometry (GGA-PBE, Alexandria).

Computed properties:
Formation energy ... 956 meV/atom
E above lowest polymorph ... 95 meV per atom
Spin magnetization ... 0.0 μB/f.u.

Cell: 7.5472 7.5472 5.7219 Å, 90.00 90.00 90.00°
Space group I-42d (No. 122)
Unique sites:
Nb  0.0000  0.0000  0.0000 (multiplicity 4)
Tl  0.2175  0.2500  0.6250 (multiplicity 8)
Fe  0.0000  0.0000  0.5000 (multiplicity 4)

13.
# La3PtSe

Crystalline La3PtSe at its relaxed geometry (GGA-PBE, Alexandria).

Computed properties:
E above lowest polymorph ... 0 meV per atom
Spin magnetization ... 0.0 μB/f.u.

Cell: 5.6643 5.6643 5.6643 Å, 90.00 90.00 90.00°
Space group Pm-3m (No. 221)
Unique sites:
La  0.0000  0.0000  0.5000 (multiplicity 3)
Pt  0.0000  0.0000  0.0000 (multiplicity 1)
Se  0.5000  0.5000  0.5000 (multiplicity 1)

14.
# RhAuICl

Crystalline RhAuICl at its relaxed geometry (GGA-PBE, Alexandria).

Computed properties:
E above lowest polymorph ... 304 meV per atom
Spin magnetization ... 0.0 μB/f.u.

Cell: 7.0352 4.9159 5.3766 Å, 90.00 97.00 90.00°
Space group Cm (No. 8)
Unique sites:
Rh  0.0000  0.0000  0.0000 (multiplicity 2)
Au  0.1175  0.0000  0.5222 (multiplicity 2)
I  0.3800  0.0000  0.1348 (multiplicity 2)
Cl  0.2251  0.5000  0.6990 (multiplicity 2)

15.
# ScIr2Os

Crystalline ScIr2Os at its relaxed geometry (GGA-PBE, Alexandria).

Computed properties:
Formation energy ... -319 meV/atom
E above lowest polymorph ... 73 meV per atom
Spin magnetization ... 0.0 μB/f.u.

Cell: 2.8156 3.8924 5.6536 Å, 90.00 90.00 90.00°
Space group Pmmm (No. 47)
Unique sites:
Sc  0.0000  0.0000  0.0000 (multiplicity 1)
Ir  0.5000  0.5000  0.2648 (multiplicity 2)
Os  0.0000  0.0000  0.5000 (multiplicity 1)

16.
# LiGdErCu

Crystalline LiGdErCu at its relaxed geometry (GGA-PBE, Alexandria).

Computed properties:
Formation energy ... -33 meV/atom
Spin magnetization ... 7.4 μB/f.u.

Cell: 7.1097 7.1097 7.1097 Å, 90.00 90.00 90.00°
Space group F-43m (No. 216)
Unique sites:
Li  0.0000  0.0000  0.0000 (multiplicity 4)
Gd  0.2500  0.2500  0.2500 (multiplicity 4)
Er  0.2500  0.2500  0.7500 (multiplicity 4)
Cu  0.0000  0.0000  0.5000 (multiplicity 4)

17.
# CaNdAgPb

Crystalline CaNdAgPb at its relaxed geometry (GGA-PBE, Alexandria).

Computed properties:
Formation energy ... -467 meV/atom
Spin magnetization ... 0.0 μB/f.u.

Cell: 7.6655 7.6655 7.6655 Å, 90.00 90.00 90.00°
Space group F-43m (No. 216)
Unique sites:
Ca  0.0000  0.0000  0.0000 (multiplicity 4)
Nd  0.0000  0.0000  0.5000 (multiplicity 4)
Ag  0.2500  0.2500  0.7500 (multiplicity 4)
Pb  0.2500  0.2500  0.2500 (multiplicity 4)

18.
# Tc2SnOsRu

Crystalline Tc2SnOsRu at its relaxed geometry (GGA-PBE, Alexandria).

Computed properties:
Formation energy ... 1512 meV/atom
Spin magnetization ... 2.6 μB/f.u.

Cell: 4.7847 4.7847 4.8373 Å, 90.00 90.00 90.00°
Space group P4/mmm (No. 123)
Unique sites:
Tc  0.0000  0.5000  0.0000 (multiplicity 2)
Sn  0.0000  0.0000  0.5000 (multiplicity 1)
Os  0.5000  0.5000  0.0000 (multiplicity 1)
Ru  0.5000  0.5000  0.5000 (multiplicity 1)

19.
# Rb4Au2Cl

Crystalline Rb4Au2Cl at its relaxed geometry (GGA-PBE, Alexandria).

Computed properties:
E above lowest polymorph ... 34 meV per atom
Spin magnetization ... 0.0 μB/f.u.

Cell: 6.4704 6.4704 16.3691 Å, 90.00 90.00 90.00°
Space group I4/mmm (No. 139)
Unique sites:
Rb  0.0000  0.0000  0.1990 (multiplicity 4)
Rb  0.0000  0.5000  0.0000 (multiplicity 4)
Au  0.0000  0.0000  0.4106 (multiplicity 4)
Cl  0.0000  0.0000  0.0000 (multiplicity 2)

20.
# TiSi2Rh

Crystalline TiSi2Rh at its relaxed geometry (GGA-PBE, Alexandria).

Computed properties:
Spin magnetization ... 0.0 μB/f.u.
Total energy ... -7.12 eV per atom

Cell: 3.9345 3.9345 3.5595 Å, 90.00 90.00 90.00°
Space group P4/mmm (No. 123)
Unique sites:
Ti  0.0000  0.0000  0.0000 (multiplicity 1)
Si  0.0000  0.5000  0.5000 (multiplicity 2)
Rh  0.5000  0.5000  0.0000 (multiplicity 1)